[1]
Density functional theory data (GGA-PBE) for HfHgPd6 after structural relaxation.

The value obtained for the energy above the most stable polymorph in this dataset is 0 meV/atom. The calculation puts the magnetization at 0.00 μB per formula unit.

The space group is P4/mmm (No. 123) and the conventional cell measures 4.020, 4.020 and 8.137 Å, with angles of 90.00, 90.00 and 90.00 degrees. The distinct sites, in fractional coordinates, are Hf at (0.000, 0.000, 0.000), Hg at (0.000, 0.000, 0.500), Pd at (0.000, 0.500, 0.241), Pd at (0.500, 0.500, 0.000) and Pd at (0.500, 0.500, 0.500).



[2]
Density functional theory data (GGA-PBE) for Pr4Sm2Dy2Y after structural relaxation.

Its total energy is -4.894 eV/atom. The calculation puts the magnetization at 0.00 μB per formula unit.

The space group is C2/m (No. 12) and the conventional cell measures 15.488, 5.162 and 8.126 Å, with angles of 90.00, 108.58 and 90.00 degrees. The distinct sites, in fractional coordinates, are Pr at (0.054, 0.000, 0.331), Pr at (0.223, 0.500, 0.331), Sm at (0.112, 0.500, 0.670), Dy at (0.167, 0.000, 0.000) and Y at (0.000, 0.500, 0.000).



[3]
Density functional theory data (GGA-PBE) for ThMg2AlHg4 after structural relaxation.

Its total energy is -2.109 eV/atom. The calculation puts the magnetization at 0.00 μB per formula unit.

The space group is R-3m (No. 166, hexagonal axes) and the conventional cell measures 4.8411, 4.8411 and 27.2052 Å, with angles of 90.00, 90.00 and 120.00 degrees. The distinct sites, in fractional coordinates, are Th at (0.0000, 0.0000, 0.0000), Mg at (0.0000, 0.0000, 0.2433), Al at (0.0000, 0.0000, 0.5000), Hg at (0.0000, 0.0000, 0.1275) and Hg at (0.0000, 0.0000, 0.3905).



[4]
Density functional theory data (GGA-PBE) for Nd4Te3Cl4 after structural relaxation.

As for the raw formation energy: -1772.2 meV per atom. The calculation puts the magnetization at 0.00 μB per formula unit.

The space group is Immm (No. 71) and the conventional cell measures 4.097, 8.789 and 17.024 Å, with angles of 90.00, 90.00 and 90.00 degrees. The distinct sites, in fractional coordinates, are Nd at (0.000, 0.000, 0.246), Nd at (0.000, 0.221, 0.000), Te at (0.000, 0.000, 0.500), Te at (0.000, 0.500, 0.398) and Cl at (0.000, 0.311, 0.177).



[5]
Density functional theory data (GGA-PBE) for MgSc5Os4 after structural relaxation.

Its total energy is -8.161 eV/atom. The calculation puts the magnetization at 0.00 μB per formula unit.

The space group is P4/mmm (No. 123) and the conventional cell measures 3.240, 3.240 and 17.250 Å, with angles of 90.00, 90.00 and 90.00 degrees. The distinct sites, in fractional coordinates, are Mg at (0.000, 0.000, 0.000), Sc at (0.500, 0.500, 0.133), Sc at (0.500, 0.500, 0.315), Sc at (0.500, 0.500, 0.500), Os at (0.000, 0.000, 0.217) and Os at (0.000, 0.000, 0.406).



[6]
Density functional theory data (GGA-PBE) for Mo2HRuPt after structural relaxation.

The value obtained for the energy above the most stable polymorph in this dataset is 0 meV/atom. The calculation puts the magnetization at 0.00 μB per formula unit.

The space group is P4/mmm (No. 123) and the conventional cell measures 3.969, 3.969 and 3.966 Å, with angles of 90.00, 90.00 and 90.00 degrees. The distinct sites, in fractional coordinates, are Mo at (0.000, 0.500, 0.000), H at (0.000, 0.000, 0.000), Ru at (0.000, 0.000, 0.500) and Pt at (0.500, 0.500, 0.500).